(1)
A plane-wave DFT calculation with SCAN was carried out for a crystal of NaHf3Sn relaxed with PBEsol.

a b c (Å): 4.860 4.860 4.860
angles (deg): 90.00 90.00 90.00
Element x y z (fractional)
Na 0.000 0.000 0.000
Hf 0.000 0.000 0.500
Hf 0.000 0.500 0.000
Hf 0.500 0.000 0.000
Sn 0.500 0.500 0.500

Calculated values
DFT formation energy (kJ/mol of formula units): 646.8
Mass density (g cm⁻³): 9.795

***

(2)
A plane-wave DFT calculation with SCAN was carried out for a crystal of MnWN2 relaxed with PBEsol.

a b c (Å): 5.206 5.206 5.206
angles (deg): 90.00 90.00 90.00
Element x y z (fractional)
Mn 0.000 0.000 0.000
Mn 0.000 0.500 0.500
Mn 0.500 0.000 0.500
Mn 0.500 0.500 0.000
W 0.000 0.000 0.500
W 0.000 0.500 0.000
W 0.500 0.000 0.000
W 0.500 0.500 0.500
N 0.250 0.250 0.250
N 0.250 0.250 0.750
N 0.250 0.750 0.250
N 0.250 0.750 0.750
N 0.750 0.250 0.250
N 0.750 0.250 0.750
N 0.750 0.750 0.250
N 0.750 0.750 0.750

Calculated values
Mass density (g cm⁻³): 12.561
Raw formation energy (eV per atom): 0.16

***

(3)
A plane-wave DFT calculation with SCAN was carried out for a crystal of KTlSb2 relaxed with PBEsol.

a b c (Å): 4.124 5.472 11.581
angles (deg): 90.00 90.00 90.00
Element x y z (fractional)
K 0.000 0.000 0.000
K 0.500 0.500 0.500
Tl 0.000 0.500 0.231
Tl 0.500 0.000 0.731
Sb 0.000 0.000 0.425
Sb 0.000 0.500 0.753
Sb 0.500 0.000 0.253
Sb 0.500 0.500 0.925

Calculated values
Relative energy among the computed polymorphs (kJ/mol of formula units): 0.0
Mass density (g cm⁻³): 6.189
Raw formation energy (eV per atom): -0.21

***

(4)
A plane-wave DFT calculation with SCAN was carried out for a crystal of Zr2SbTe relaxed with PBEsol.

a b c (Å): 3.796 3.796 6.508
angles (deg): 90.00 90.00 90.00
Element x y z (fractional)
Zr 0.000 0.000 0.000
Zr 0.500 0.500 0.296
Sb 0.000 0.000 0.465
Te 0.500 0.500 0.830

Calculated values
Relative energy among the computed polymorphs (kJ/mol of formula units): 0.0
Mass density (g cm⁻³): 7.647
Raw formation energy (eV per atom): -0.83

***

(5)
A plane-wave DFT calculation with SCAN was carried out for a crystal of Re3P relaxed with PBEsol.

a b c (Å): 8.380 8.380 2.807
angles (deg): 90.00 90.00 120.00
Element x y z (fractional)
Re 0.000 0.500 0.000
Re 0.167 0.333 0.333
Re 0.167 0.833 0.333
Re 0.333 0.167 0.667
Re 0.500 0.000 0.000
Re 0.500 0.500 0.000
Re 0.667 0.833 0.333
Re 0.833 0.167 0.667
Re 0.833 0.667 0.667
P 0.000 0.000 0.000
P 0.333 0.667 0.667
P 0.667 0.333 0.333

Calculated values
Relative energy among the computed polymorphs (kJ/mol of formula units): 236.1
DFT formation energy (kJ/mol of formula units): 193.4
Mass density (g cm⁻³): 17.204

***

(6)
A plane-wave DFT calculation with SCAN was carried out for a crystal of KPt2S relaxed with PBEsol.

a b c (Å): 5.326 5.326 14.425
angles (deg): 90.00 90.00 90.00
Element x y z (fractional)
K 0.000 0.250 0.375
K 0.000 0.750 0.625
K 0.500 0.250 0.125
K 0.500 0.750 0.875
Pt 0.000 0.000 0.000
Pt 0.000 0.500 0.000
Pt 0.250 0.250 0.750
Pt 0.250 0.750 0.250
Pt 0.500 0.000 0.500
Pt 0.500 0.500 0.500
Pt 0.750 0.250 0.750
Pt 0.750 0.750 0.250
S 0.000 0.250 0.875
S 0.000 0.750 0.125
S 0.500 0.250 0.625
S 0.500 0.750 0.375

Calculated values
Mass density (g cm⁻³): 7.489
Raw formation energy (eV per atom): -0.58